A relaxed structure of BeAl2WF. Source: Alexandria via LeMat-Bulk, functional PBE with a Hubbard U.

The structure in CIF format:
```
data_BeAl2WF
_cell_length_a 5.180
_cell_length_b 4.114
_cell_length_c 5.180
_cell_angle_alpha 90.00
_cell_angle_beta 90.00
_cell_angle_gamma 90.00
_space_group_name_H-M_alt 'P 1'
_space_group_IT_number 1
_space_group_name_Hall 'P 1'
loop_
_atom_site_label
_atom_site_type_symbol
_atom_site_fract_x
_atom_site_fract_y
_atom_site_fract_z
_atom_site_occupancy
W1 W 0.000 0.000 0.000 1
Be1 Be 0.500 0.500 0.500 1
Al1 Al 0.500 0.000 0.000 1
F1 F 0.000 0.500 0.000 1
Al2 Al 0.000 0.000 0.500 1
```

For the magnetic moment, the calculation gives 2.45 μB per formula unit. For the total energy, the calculation gives -3.46 eV/atom.